Entry 1:
In2B2Rh5Au: relaxed, PBE.

Magnetic moment = 0.00 μB per formula unit
Crystal system = tetragonal
Energy of formation from the pure elements = -0.289 eV/atom

Cell: 2.958 9.841 9.841 Å, 90.00 90.00 90.00°
Element x y z (fractional)
In 0.000 0.680 0.180
In 0.000 0.320 0.820
In 0.000 0.180 0.320
In 0.000 0.820 0.680
B 0.000 0.124 0.624
B 0.000 0.876 0.376
B 0.000 0.624 0.876
B 0.000 0.376 0.124
Rh 0.500 0.229 0.069
Rh 0.500 0.771 0.931
Rh 0.500 0.069 0.771
Rh 0.500 0.729 0.431
Rh 0.500 0.931 0.229
Rh 0.500 0.271 0.569
Rh 0.500 0.569 0.729
Rh 0.500 0.431 0.271
Rh 0.500 0.500 0.000
Rh 0.500 0.000 0.500
Au 0.000 0.000 0.000
Au 0.000 0.500 0.500

Entry 2:
InRhSe4: relaxed, PBE.

Magnetic moment = 0.00 μB per formula unit
Crystal system = cubic

Cell: 5.688 5.688 5.688 Å, 60.00 60.00 60.00°
Element x y z (fractional)
In 0.750 0.750 0.750
Rh 0.000 0.000 0.000
Se 0.879 0.374 0.374
Se 0.374 0.374 0.879
Se 0.374 0.879 0.374
Se 0.374 0.374 0.374

| no. | E_tot (eV per atom) |
| --- | --- |
| 1 | -6.18 |
| 2 | -3.34 |